[1]
A plane-wave DFT calculation with PBE was carried out for a relaxed Sn2HgI8 crystal.

a = 14.0766 Å, b = 11.3652 Å, c = 7.4903 Å
α = 90.00°, β = 98.76°, γ = 90.00°
Last column: nearest neighbours and their distance in Å.
Space group C2/m (No. 12)
One atom of each set of equivalent atoms:
1 Sn 0.2142 0.0000 0.1586 x4  4 I 2.84-2.96
2 Hg 0.0000 0.0000 0.5000 x2  2 I 2.90
3 I 0.0899 0.5000 0.6417 x4  1 Sn 2.93, 1 I 3.05
4 I 0.1030 0.1892 0.2642 x8  1 Sn 2.84
5 I 0.1753 0.0000 0.7588 x4  1 Hg 2.90, 1 Sn 2.96

E_form (uncorrected): -0.282 eV/atom
Magnetic moment: 0.00 μB per formula unit

***

[2]
A plane-wave DFT calculation with PBE was carried out for a relaxed SnHg2I6 crystal.

a = 14.9881 Å, b = 13.7116 Å, c = 7.9462 Å
α = 90.00°, β = 100.63°, γ = 90.00°
Last column: nearest neighbours and their distance in Å.
Space group C2/c (No. 15)
One atom of each set of equivalent atoms:
1 Sn 0.0000 0.1042 0.2500 x4  6 I 3.07-3.43
2 Hg 0.1841 0.4168 0.3305 x8  4 I 2.83-2.91
3 I 0.1191 0.0895 0.6317 x8  1 Hg 2.91, 1 Sn 3.23
4 I 0.1235 0.2526 0.1175 x8  1 Hg 2.86, 1 Sn 3.07
5 I 0.1231 0.4082 0.6467 x8  2 Hg 2.83-2.87

E_form (uncorrected): -0.343 eV/atom
Energy relative to the lowest polymorph listed for this composition: 0.000 eV/atom
Magnetic moment: 0.00 μB per formula unit

***

[3]
A plane-wave DFT calculation with PBE was carried out for a relaxed SnHg5I2 crystal.

a = 10.1010 Å, b = 10.1049 Å, c = 7.4439 Å
α = 90.00°, β = 132.67°, γ = 90.00°
Last column: nearest neighbours and their distance in Å.
Space group Cm (No. 8)
One atom of each set of equivalent atoms:
1 Sn 0.0000 0.0000 0.0000 x2  5 Hg 2.77-2.89
2 Hg 0.1683 0.5000 0.8971 x2  1 Sn 2.89, 3 Hg 3.08-3.14
3 Hg 0.2285 0.0000 0.8962 x2  1 Sn 2.89, 3 Hg 3.08-3.14
4 Hg 0.2537 0.0000 0.5067 x2  1 Sn 2.77, 4 Hg 3.08
5 Hg 0.4486 0.2198 0.8965 x4  1 Sn 2.89, 3 Hg 3.08-3.14
6 I 0.4404 0.2497 0.3796 x4  10 Hg 3.64-3.81

E_form (uncorrected): -0.060 eV/atom
Magnetic moment: 0.00 μB per formula unit

***

[4]
A plane-wave DFT calculation with PBE was carried out for a relaxed SnHgI4 crystal.

a = 8.7549 Å, b = 7.0252 Å, c = 8.9871 Å
α = 90.00°, β = 105.01°, γ = 90.00°
Last column: nearest neighbours and their distance in Å.
Space group P2_1/c (No. 14)
One atom of each set of equivalent atoms:
1 Sn 0.0000 0.0000 0.0000 x2  6 I 3.18-3.30
2 Hg 0.5000 0.0000 0.0000 x2  2 I 2.68
3 I 0.1585 0.1995 0.7595 x4  2 Sn 3.18-3.19, 1 Hg 3.50
4 I 0.3227 0.7368 0.0928 x4  1 Hg 2.68

E_form (uncorrected): -0.346 eV/atom
Energy relative to the lowest polymorph listed for this composition: 0.009 eV/atom
Magnetic moment: 0.00 μB per formula unit

***

[5]
A plane-wave DFT calculation with PBE was carried out for a relaxed Sn2HgI2 crystal.

a = 4.3392 Å, b = 4.3392 Å, c = 20.4271 Å
α = 90.00°, β = 90.00°, γ = 90.00°
Last column: nearest neighbours and their distance in Å.
Space group I4/mmm (No. 139)
One atom of each set of equivalent atoms:
1 Sn 0.0000 0.5000 0.2500 x4  4 Sn 3.07, 4 I 3.43
2 Hg 0.0000 0.0000 0.0000 x2  8 I 3.93, 4 Hg 4.34
3 I 0.0000 0.0000 0.3801 x4  4 Sn 3.43

E_form (uncorrected): -0.053 eV/atom
Energy relative to the lowest polymorph listed for this composition: 0.055 eV/atom
Magnetic moment: 0.00 μB per formula unit

***

[6]
A plane-wave DFT calculation with PBE was carried out for a relaxed Sn2Hg2I crystal.

a = 8.5908 Å, b = 8.5908 Å, c = 4.0518 Å
α = 90.00°, β = 90.00°, γ = 90.00°
Last column: nearest neighbours and their distance in Å.
Space group P4/mbm (No. 127)
One atom of each set of equivalent atoms:
1 Sn 0.1313 0.3687 0.0000 x4  6 Hg 3.13-3.32, 1 Sn 3.19, 2 I 3.36
2 Hg 0.1725 0.6725 0.5000 x4  6 Sn 3.13-3.32
3 I 0.0000 0.0000 0.0000 x2  4 Sn 3.36

E_form (uncorrected): 0.000 eV/atom
Energy relative to the lowest polymorph listed for this composition: 0.000 eV/atom
Magnetic moment: 0.00 μB per formula unit

***

[7]
A plane-wave DFT calculation with PBE was carried out for a relaxed SnHgI crystal.

a = 4.2804 Å, b = 4.2804 Å, c = 6.3182 Å
α = 90.00°, β = 90.00°, γ = 120.00°
Last column: nearest neighbours and their distance in Å.
Space group P3m1 (No. 156)
One atom of each set of equivalent atoms:
1 Sn 0.0000 0.0000 0.0000 x1  3 Hg 3.05, 3 I 3.32
2 Hg 0.3333 0.6667 0.2823 x1  3 Sn 3.05, 3 I 3.39
3 I 0.6667 0.3333 0.6500 x1  3 Sn 3.32, 3 Hg 3.39

E_form (uncorrected): -0.011 eV/atom
Energy relative to the lowest polymorph listed for this composition: 0.121 eV/atom
Magnetic moment: 0.00 μB per formula unit

***

[8]
A plane-wave DFT calculation with PBE was carried out for a relaxed Sn2Hg2I crystal.

a = 4.3478 Å, b = 4.3478 Å, c = 16.5685 Å
α = 90.00°, β = 90.00°, γ = 90.00°
Last column: nearest neighbours and their distance in Å.
Space group I4/mmm (No. 139)
One atom of each set of equivalent atoms:
1 Sn 0.0000 0.5000 0.2500 x4  4 Sn 3.07, 4 Hg 3.32
2 Hg 0.0000 0.0000 0.0986 x4  1 Hg 3.27, 4 Sn 3.32, 4 I 3.48
3 I 0.0000 0.0000 0.5000 x2  8 Hg 3.48

E_form (uncorrected): 0.049 eV/atom
Energy relative to the lowest polymorph listed for this composition: 0.049 eV/atom
Magnetic moment: 0.00 μB per formula unit

***

- Look up the magnetic moment of the eighth one.
  0.00 μB per formula unit

***

- Among the records above, which one has the highest E_form (uncorrected)?
  number 8